Entry 1:
LaCu2: relaxed, PBE.

Cell: 5.2965 4.0836 11.4263 Å, 90.00 90.00 90.00°
Closest atoms and distances in Å follow each position.
Space group Pnma (No. 62)
Asymmetric unit:
La (0.1285, 0.2500, 0.1430)  8 Cu 2.93-3.28
Cu (0.1248, 0.2500, 0.4705)  5 Cu 2.51-2.56
Cu (0.1446, 0.7500, 0.3435)  3 Cu 2.51-2.56

Output
electronic total energy = -0.1659 Ha/atom
magnetization = 0.0 μB/f.u.
calculated formation energy = -141 meV per atom
crystal system = orthorhombic

---

Entry 2:
Sm3HoPa3N8: relaxed, PBE.

Cell: 7.0250 7.0250 17.2223 Å, 90.00 90.00 120.00°
Closest atoms and distances in Å follow each position.
Space group R-3m (No. 166, hexagonal axes)
Asymmetric unit:
Sm (0.0000, 0.5000, 0.0000)  6 N 2.56-2.64
Ho (0.0000, 0.0000, 0.5000)  6 N 2.36
Pa (0.0000, 0.5000, 0.5000)  6 N 2.35-2.42
N (0.0000, 0.0000, 0.2430)  3 Pa 2.42, 3 Sm 2.56
N (0.0011, 0.5005, 0.7641)  2 Pa 2.35, 1 Ho 2.36

Output
electronic total energy = -0.3334 Ha/atom
magnetization = 0.0 μB/f.u.
formation energy without anion corrections = -1.483 eV per atom
crystal system = trigonal

---

Which of these has the lowest electronic total energy? Sm3HoPa3N8